No. 1
DFT (PBE) results for an optimized crystal structure of K2CrAs.

Geometry as POSCAR:
```
K2CrAs
1.0
1.750 1.010 11.447
-1.750 1.010 11.447
0.000 -2.021 11.447
K Cr As
2 1 1
Direct
0.242 0.242 0.242
0.758 0.758 0.758
0.000 0.000 0.000
0.500 0.500 0.500
```

Results
The symmetry is R-3m. For the energy of formation, the calculation gives 0.69 eV per atom.

=====

No. 2
DFT (PBE) results for an optimized crystal structure of Y2Er8Sc3.

Geometry as POSCAR:
```
Y2Er8Sc3
1.0
6.529 -5.552 0.000
6.529 5.552 0.000
-2.468 0.000 5.382
Y Er Sc
2 8 3
Direct
0.180 0.180 0.340
0.820 0.820 0.660
0.089 0.089 0.772
0.111 0.578 0.351
0.364 0.364 0.888
0.422 0.889 0.649
0.578 0.111 0.351
0.636 0.636 0.112
0.889 0.422 0.649
0.911 0.911 0.228
0.233 0.767 0.000
0.500 0.500 0.500
0.767 0.233 0.000
```

Results
The symmetry is C2/m. For the energy of formation, the calculation gives 0.20 eV per atom. The calculation puts the relative energy among the computed polymorphs at 0 meV per atom.

=====

No. 3
DFT (PBE) results for an optimized crystal structure of UBr4.

Geometry as POSCAR:
```
UBr4
1.0
5.642 0.000 0.000
0.000 5.642 0.000
0.000 0.000 5.642
U Br
1 4
Direct
0.000 0.000 0.000
0.000 0.000 0.500
0.000 0.500 0.000
0.500 0.000 0.000
0.500 0.500 0.500
```

Results
The symmetry is Pm-3m. Its uncorrected formation energy is -82.4 kJ per mole of atoms.

=====

No. 4
DFT (PBE) results for an optimized crystal structure of YCr2FeMo.

Geometry as POSCAR:
```
YCr2FeMo
1.0
4.585 0.000 0.000
0.000 4.585 0.000
0.000 0.000 4.588
Y Cr Fe Mo
1 2 1 1
Direct
0.000 0.000 0.000
0.000 0.500 0.500
0.500 0.000 0.500
0.500 0.500 0.000
0.500 0.500 0.500
```

Results
The symmetry is P4/mmm. For the energy of formation, the calculation gives 0.89 eV per atom.

=====

No. 5
DFT (PBE) results for an optimized crystal structure of TaIr2W.

Geometry as POSCAR:
```
TaIr2W
1.0
-3.064 3.064 4.872
3.064 -3.064 4.872
3.064 3.064 -4.872
Ta Ir W
2 4 2
Direct
0.000 0.000 0.000
0.750 0.250 0.500
0.135 0.625 0.010
0.375 0.385 0.510
0.615 0.125 0.990
0.875 0.865 0.490
0.250 0.750 0.500
0.500 0.500 0.000
```

Results
The symmetry is I-42d. For the energy of formation, the calculation gives 0.80 eV per atom. The calculation puts the relative energy among the computed polymorphs at 1257 meV per atom.

=====

No. 6
DFT (PBE) results for an optimized crystal structure of MnAsAu2.

Geometry as POSCAR:
```
MnAsAu2
1.0
3.849 0.000 0.000
0.000 4.910 0.000
-0.036 0.000 3.914
Mn As Au
1 1 2
Direct
0.000 0.000 0.000
0.500 0.000 0.500
0.246 0.500 0.754
0.754 0.500 0.246
```

Results
The symmetry is P2/m. For the energy of formation, the calculation gives 0.06 eV per atom.